(1)
Computed, not measured: crystalline KNaNiF6 at its relaxed geometry at the GGA+U level of DFT.

Cell lengths 5.593, 5.593, 5.366 Å; angles 90.01, 89.99, 59.97 degrees
Positions (direct):
K (0.000, 0.000, 0.000)
Na (0.667, 0.667, 0.500)
Ni (0.333, 0.333, 0.500)
F (0.066, 0.340, 0.307)
F (0.339, 0.066, 0.693)
F (0.594, 0.340, 0.693)
F (0.066, 0.595, 0.693)
F (0.340, 0.594, 0.307)
F (0.595, 0.065, 0.307)

## Properties
Space group: P312 (149)

***

(2)
Computed, not measured: crystalline K3Na2NiF9 at its relaxed geometry at the GGA+U level of DFT.

Cell lengths 6.001, 6.001, 7.336 Å; angles 90.00, 90.00, 120.00 degrees
Positions (direct):
K (0.333, 0.667, 0.720)
K (0.000, 0.000, 0.000)
K (0.667, 0.333, 0.280)
Na (0.333, 0.667, 0.182)
Na (0.667, 0.333, 0.818)
Ni (0.000, 0.000, 0.500)
F (0.856, 0.144, 0.643)
F (0.856, 0.712, 0.643)
F (0.288, 0.144, 0.643)
F (0.712, 0.856, 0.357)
F (0.144, 0.288, 0.357)
F (0.144, 0.856, 0.357)
F (0.500, 0.000, 0.000)
F (0.000, 0.500, 0.000)
F (0.500, 0.500, 0.000)

## Properties
Space group: P-3m1 (164)

***

Number 1: electronic total energy -0.28755 Ry per atom. Number 2: electronic total energy -0.29657 Ry per atom.